# 1
First-principles (PBE-GGA) data for CsInSi after structural relaxation, as listed in the Alexandria database.

Computed properties:
**Calculated density**: 4.97 g/cm³
**N(E_F)**: 0.0 states/eV/f.u.
**SG**: No. 62
**Calculated total energy**: -2.9086 eV per atom

a b c (Å): 8.904 5.054 8.194
angles (deg): 90.00 90.00 90.00
Element x y z (fractional)
Cs: 0.007 0.250 0.160
Cs: 0.493 0.750 0.660
Cs: 0.507 0.250 0.340
Cs: 0.993 0.750 0.840
In: 0.154 0.250 0.586
In: 0.346 0.750 0.086
In: 0.654 0.250 0.914
In: 0.846 0.750 0.414
Si: 0.165 0.750 0.402
Si: 0.335 0.250 0.902
Si: 0.665 0.750 0.098
Si: 0.835 0.250 0.598

---

# 2
First-principles (PBE-GGA) data for HoSc2H8 after structural relaxation, as listed in the Alexandria database.

Computed properties:
**Calculated density**: 5.06 g/cm³
**N(E_F)**: 1.2 states/eV/f.u.
**SG**: No. 71
**Calculated total energy**: -4.5739 eV per atom

a b c (Å): 5.956 5.956 5.956
angles (deg): 146.65 131.38 60.24
Element x y z (fractional)
Ho: 0.000 0.000 0.000
Sc: 0.330 0.330 0.000
Sc: 0.670 0.670 0.000
H: 0.104 0.834 0.270
H: 0.156 0.656 0.500
H: 0.288 0.500 0.788
H: 0.436 0.166 0.270
H: 0.564 0.834 0.730
H: 0.712 0.500 0.212
H: 0.844 0.344 0.500
H: 0.896 0.166 0.730